! PuNb2Sn PBE-GGA optimized geometry; values from VASP
&SYSTEM
  ibrav = 0, nat = 4, ntyp = 3
/
ATOMIC_SPECIES
Pu 244.00 Pu.upf
Nb 92.91 Nb.upf
Sn 118.71 Sn.upf
ATOMIC_POSITIONS crystal
Pu 0.0000 0.0000 0.0000
Nb 0.0000 0.5000 0.5000
Nb 0.5000 0.0000 0.5000
Sn 0.5000 0.5000 0.0000
CELL_PARAMETERS angstrom
4.5963 0.0000 0.0000
0.0000 4.5963 0.0000
0.0000 0.0000 3.8331
! **Density**: 11.25 Mg/m³
! **Space group**: P4/mmm (123)
! **Formation enthalpy at 0 K**: 0.01 eV/atom
! **Energy above the most stable polymorph in this dataset**: 0 meV/atom